1.
{"formula": "LaHgI", "functional": "PBE-GGA", "state": "relaxed", "lattice": [[-2.396, -3.968, -0.047], [4.633, -0.088, -0.126], [0.329, -0.344, 12.338]], "species": ["La", "Hg", "I", "Hg", "I", "La"], "frac_coords": [[0.000, 0.000, 0.813], [0.333, 0.667, 0.044], [0.333, 0.667, 0.654], [0.667, 0.333, 0.956], [0.667, 0.333, 0.346], [0.000, 0.000, 0.187]], "dos_at_fermi_per_ev_cell": 6.50, "magnetic_moment_mub_per_fu": 0.0, "polymorph_energy_mev_per_atom": 0}

2.
{"formula": "CsNdFe2I8", "functional": "PBE-GGA", "state": "relaxed", "lattice": [[-4.536, 2.024, 5.632], [-4.008, -5.850, 2.469], [7.065, -2.841, 8.253]], "species": ["Fe", "I", "Cs", "I", "Nd", "I", "I", "Fe", "I", "I", "I", "I"], "frac_coords": [[0.617, 0.617, 0.210], [0.691, 0.691, 0.412], [0.000, 0.000, 0.500], [0.274, 0.764, 0.795], [0.000, 0.000, 0.000], [0.253, 0.253, 0.993], [0.309, 0.309, 0.588], [0.383, 0.383, 0.790], [0.764, 0.274, 0.795], [0.747, 0.747, 0.007], [0.236, 0.726, 0.205], [0.726, 0.236, 0.205]], "dos_at_fermi_per_ev_cell": 12.67, "magnetic_moment_mub_per_fu": 8.0}

In meV/atom, the raw formation energy values for the records above are, in order, -893; -740.
In eV per atom, the E values for the records above are, in order, -3.15; -3.65.